No. 1
A plane-wave DFT calculation with PBE was carried out for a relaxed SmGa2Ag3 crystal.

Values from the calculation:
**Space group**: C2/m, No. 12
**Energy of formation from the pure elements**: -0.2745 eV per atom
**Uncorrected energy**: -3.496 eV per atom
**Calculated density**: 8.40 Mg/m³

Cell: 8.5361 8.5361 7.6791 Å, 116.40 116.40 29.23°
Atoms (fractional coordinates):
Sm  0.1426  0.1426  0.2194
Sm  0.8574  0.8574  0.7806
Ga  0.2076  0.2076  0.6853
Ga  0.4839  0.4839  0.1386
Ga  0.5161  0.5161  0.8614
Ga  0.7924  0.7924  0.3147
Ag  0.0451  0.0451  0.7063
Ag  0.3135  0.3135  0.0743
Ag  0.3951  0.3951  0.4920
Ag  0.6049  0.6049  0.5080
Ag  0.6865  0.6865  0.9257
Ag  0.9549  0.9549  0.2937



No. 2
A plane-wave DFT calculation with PBE was carried out for a relaxed Pm3ReB7 crystal.

Values from the calculation:
**Space group**: Cmcm, No. 63
**Energy of formation from the pure elements**: -0.4596 eV per atom
**Uncorrected energy**: -7.136 eV per atom
**Calculated density**: 8.25 Mg/m³

Cell: 8.3297 8.3297 9.5461 Å, 90.00 90.00 154.95°
Atoms (fractional coordinates):
Pm  0.1043  0.8957  0.5616
Pm  0.1043  0.8957  0.9384
Pm  0.2423  0.7577  0.2500
Pm  0.7577  0.2423  0.7500
Pm  0.8957  0.1043  0.0616
Pm  0.8957  0.1043  0.4384
Re  0.0550  0.9450  0.2500
Re  0.9450  0.0550  0.7500
B  0.2740  0.7260  0.5322
B  0.2740  0.7260  0.9678
B  0.3682  0.6318  0.6518
B  0.3682  0.6318  0.8482
B  0.4637  0.5363  0.2500
B  0.4768  0.5232  0.5982
B  0.4768  0.5232  0.9018
B  0.5232  0.4768  0.0982
B  0.5232  0.4768  0.4018
B  0.5363  0.4637  0.7500
B  0.6318  0.3682  0.1518
B  0.6318  0.3682  0.3482
B  0.7260  0.2740  0.0322
B  0.7260  0.2740  0.4678



No. 3
A plane-wave DFT calculation with PBE was carried out for a relaxed La5Sn3C crystal.

Values from the calculation:
**Space group**: P6_3/mcm, No. 193
**Energy of formation from the pure elements**: -0.6220 eV per atom
**Uncorrected energy**: -5.719 eV per atom
**Calculated density**: 6.44 Mg/m³

Cell: 9.5261 9.5261 6.9679 Å, 90.00 90.00 120.00°
Atoms (fractional coordinates):
La  0.0000  0.2125  0.2500
La  0.0000  0.7875  0.7500
La  0.2125  0.0000  0.2500
La  0.2125  0.2125  0.7500
La  0.3333  0.6667  0.0000
La  0.3333  0.6667  0.5000
La  0.6667  0.3333  0.0000
La  0.6667  0.3333  0.5000
La  0.7875  0.0000  0.7500
La  0.7875  0.7875  0.2500
Sn  0.0000  0.4138  0.7500
Sn  0.0000  0.5862  0.2500
Sn  0.4138  0.0000  0.7500
Sn  0.4138  0.4138  0.2500
Sn  0.5862  0.0000  0.2500
Sn  0.5862  0.5862  0.7500
C  0.0000  0.0000  0.0000
C  0.0000  0.0000  0.5000



No. 4
A plane-wave DFT calculation with PBE was carried out for a relaxed Ba5Sr5Ca2 crystal.

Values from the calculation:
**Space group**: C2/m, No. 12
**Energy of formation from the pure elements**: 0.0153 eV per atom
**Uncorrected energy**: -1.820 eV per atom
**Calculated density**: 3.02 Mg/m³

Cell: 8.0009 8.0009 14.3386 Å, 107.62 107.62 49.94°
Atoms (fractional coordinates):
Ba  0.0000  0.0000  0.0000
Ba  0.0802  0.0802  0.7506
Ba  0.1696  0.1696  0.5022
Ba  0.8304  0.8304  0.4978
Ba  0.9198  0.9198  0.2494
Sr  0.2456  0.2456  0.2485
Sr  0.3365  0.3365  0.0007
Sr  0.5000  0.5000  0.5000
Sr  0.6635  0.6635  0.9993
Sr  0.7544  0.7544  0.7515
Ca  0.4154  0.4154  0.7517
Ca  0.5846  0.5846  0.2483



No. 5
A plane-wave DFT calculation with PBE was carried out for a relaxed SbIrF2 crystal.

Values from the calculation:
**Space group**: Fm-3m, No. 225
**Uncorrected energy**: -4.234 eV per atom
**Calculated density**: 9.80 Mg/m³

Cell: 4.3860 4.3860 4.3860 Å, 60.00 60.00 60.00°
Atoms (fractional coordinates):
Sb  0.0000  0.0000  0.0000
Ir  0.5000  0.5000  0.5000
F  0.2500  0.2500  0.2500
F  0.7500  0.7500  0.7500



No. 6
A plane-wave DFT calculation with PBE was carried out for a relaxed RbMn3Fe crystal.

Values from the calculation:
**Space group**: Pm-3m, No. 221
**Energy of formation from the pure elements**: 1.1116 eV per atom
**Uncorrected energy**: -6.276 eV per atom
**Calculated density**: 4.66 Mg/m³

Cell: 4.7770 4.7770 4.7770 Å, 90.00 90.00 90.00°
Atoms (fractional coordinates):
Rb  0.0000  0.0000  0.0000
Mn  0.0000  0.5000  0.5000
Mn  0.5000  0.0000  0.5000
Mn  0.5000  0.5000  0.0000
Fe  0.5000  0.5000  0.5000